No. 1
# ZnNiPt2 GGA-PBE relaxed
data_ZnNiPt2
_cell_length_a 3.825
_cell_length_b 3.825
_cell_length_c 7.753
_cell_angle_alpha 90.00
_cell_angle_beta 90.00
_cell_angle_gamma 90.00
_symmetry_space_group_name_H-M 'I -4 m 2'
_symmetry_Int_Tables_number 119
_symmetry_space_group_name_Hall 'I -4 -2'
loop_
_atom_site_label
_atom_site_fract_x
_atom_site_fract_y
_atom_site_fract_z
Zn1 0.000 0.000 0.000
Ni1 0.000 0.500 0.750
Pt1 0.000 0.000 0.500
Pt2 0.000 0.500 0.250
# **Fermi-level density of states**: 9.93 states/eV per cell
# **Formation energy from the elements**: -0.252 eV per atom
# **Calculated total energy**: -0.1851 Ha/atom
# **Crystal system**: tetragonal

---

No. 2
# Zn2NiPt GGA-PBE relaxed
data_Zn2NiPt
_cell_length_a 3.768
_cell_length_b 3.768
_cell_length_c 7.673
_cell_angle_alpha 90.00
_cell_angle_beta 90.00
_cell_angle_gamma 90.00
_symmetry_space_group_name_H-M 'I -4 m 2'
_symmetry_Int_Tables_number 119
_symmetry_space_group_name_Hall 'I -4 -2'
loop_
_atom_site_label
_atom_site_fract_x
_atom_site_fract_y
_atom_site_fract_z
Zn1 0.000 0.000 0.000
Zn2 0.000 0.500 0.250
Ni1 0.000 0.500 0.750
Pt1 0.000 0.000 0.500
# **Fermi-level density of states**: 4.79 states/eV per cell
# **Formation energy from the elements**: -0.323 eV per atom
# **Calculated total energy**: -0.1439 Ha/atom
# **Crystal system**: tetragonal

---

No. 3
# ZnNiPt2 GGA-PBE relaxed
data_ZnNiPt2
_cell_length_a 8.756
_cell_length_b 2.786
_cell_length_c 4.738
_cell_angle_alpha 90.00
_cell_angle_beta 100.98
_cell_angle_gamma 90.00
_symmetry_space_group_name_H-M 'C 1 2/m 1'
_symmetry_Int_Tables_number 12
loop_
_symmetry_equiv_pos_as_xyz
'x,y,z'
'-x,-y,-z'
'-x,y,-z'
'x,-y,z'
'x+1/2,y+1/2,z'
'-x+1/2,-y+1/2,-z'
'-x+1/2,y+1/2,-z'
'x+1/2,-y+1/2,z'
loop_
_atom_site_label
_atom_site_fract_x
_atom_site_fract_y
_atom_site_fract_z
Zn1 0.000 0.000 0.000
Ni1 0.000 0.500 0.500
Pt1 0.250 0.000 0.746
# **Fermi-level density of states**: 7.31 states/eV per cell
# **Formation energy from the elements**: -0.274 eV per atom
# **Calculated total energy**: -0.1859 Ha/atom
# **Crystal system**: monoclinic